Entry from Alexandria via LeMat-Bulk: an optimized crystal structure of Al17Si4Pd8 (PBEsol).

Values from the calculation:
Electronic total energy: -5.333 eV per atom
D(E_F): 0.292 states/eV/atom

Cell: 12.851 12.851 10.676 Å, 90.00 90.00 90.00°
Space group I4_1/a (No. 88, origin choice 2)
Asymmetric unit:
1 Al 0.000 0.250 0.125 (multiplicity 4)
2 Al 0.010 0.031 0.144 (multiplicity 16)
3 Al 0.074 0.347 0.350 (multiplicity 16)
4 Al 0.086 0.001 0.426 (multiplicity 16)
5 Al 0.210 0.471 0.152 (multiplicity 16)
6 Si 0.051 0.333 0.734 (multiplicity 16)
7 Pd 0.096 0.042 0.667 (multiplicity 16)
8 Pd 0.096 0.381 0.971 (multiplicity 16)